DFT (PBE) results for crystalline Mg6Si5 at its relaxed geometry.

The value obtained for the raw formation energy is 0.05 eV/atom. Its crystal system is triclinic. The space group is P1 (1). Its energy above the most stable polymorph in this dataset is 0.64 eV/f.u.

Cell and atoms, written as POSCAR:
```
Mg6Si5
1.0
4.706 0.000 0.000
1.843 8.122 0.000
1.592 1.991 11.412
Mg Si
12 10
direct
0.000 0.000 0.000
0.008 0.716 0.344
0.188 0.610 0.044
0.358 0.350 0.689
0.379 0.220 0.102
0.477 0.160 0.472
0.563 0.786 0.155
0.660 0.762 0.890
0.749 0.383 0.874
0.844 0.033 0.700
0.856 0.649 0.623
0.981 0.306 0.319
0.242 0.629 0.799
0.302 0.796 0.500
0.321 0.988 0.315
0.394 0.884 0.672
0.429 0.462 0.280
0.484 0.109 0.895
0.596 0.543 0.443
0.746 0.455 0.098
0.833 0.029 0.235
0.907 0.325 0.562
```

DFT (PBE) results for crystalline MgSi3 at its relaxed geometry.

The value obtained for the raw formation energy is 0.32 eV/atom. Its crystal system is hexagonal. The space group is P6_3/mmc (194).

Cell and atoms, written as POSCAR:
```
MgSi3
1.0
5.499 0.000 0.000
-2.750 4.763 0.000
0.000 0.000 4.982
Mg Si
2 6
direct
0.333 0.667 0.250
0.667 0.333 0.750
0.156 0.313 0.750
0.156 0.844 0.750
0.313 0.156 0.250
0.687 0.844 0.750
0.844 0.156 0.250
0.844 0.687 0.250
```

DFT (PBE) results for crystalline Mg3Si2 at its relaxed geometry.

The value obtained for the raw formation energy is 0.01 eV/atom. Its crystal system is triclinic. The space group is P-1 (2).

Cell and atoms, written as POSCAR:
```
Mg3Si2
1.0
5.236 0.000 0.000
0.074 6.017 0.000
1.413 2.867 12.493
Mg Si
12 8
direct
0.025 0.234 0.041
0.177 0.326 0.358
0.219 0.866 0.249
0.303 0.865 0.734
0.350 0.776 0.494
0.475 0.555 0.110
0.525 0.445 0.890
0.650 0.224 0.506
0.697 0.135 0.266
0.781 0.134 0.751
0.823 0.674 0.642
0.975 0.766 0.959
0.040 0.458 0.823
0.129 0.169 0.574
0.347 0.413 0.674
0.480 0.900 0.929
0.520 0.100 0.071
0.653 0.587 0.326
0.871 0.831 0.426
0.960 0.542 0.177
```

DFT (PBE) results for crystalline Mg6Si5 at its relaxed geometry.

The value obtained for the raw formation energy is 0.07 eV/atom. Its crystal system is triclinic. The space group is P1 (1). Its energy above the most stable polymorph in this dataset is 0.81 eV/f.u.

Cell and atoms, written as POSCAR:
```
Mg6Si5
1.0
4.464 0.000 0.000
-0.763 7.205 0.000
-1.881 -0.333 13.392
Mg Si
12 10
direct
0.000 0.000 0.000
0.014 0.488 0.083
0.079 0.681 0.326
0.281 0.406 0.521
0.357 0.832 0.597
0.390 0.501 0.761
0.432 0.000 0.826
0.450 0.031 0.390
0.503 0.428 0.302
0.542 0.764 0.168
0.573 0.177 0.141
0.844 0.197 0.667
0.077 0.997 0.209
0.429 0.327 0.962
0.469 0.683 0.969
0.678 0.702 0.451
0.855 0.568 0.612
0.883 0.315 0.866
0.884 0.826 0.729
0.935 0.665 0.883
0.969 0.223 0.338
0.977 0.039 0.496
```

DFT (PBE) results for crystalline Mg15Si at its relaxed geometry.

The value obtained for the raw formation energy is 0.02 eV/atom. Its crystal system is hexagonal. The space group is P-6m2 (187).

Cell and atoms, written as POSCAR:
```
Mg15Si
1.0
6.353 0.000 0.000
-3.177 5.502 0.000
0.000 0.000 10.120
Mg Si
15 1
direct
0.000 0.000 0.000
0.005 0.502 0.500
0.328 0.164 0.260
0.328 0.164 0.740
0.333 0.667 0.250
0.333 0.667 0.750
0.498 0.502 0.500
0.498 0.995 0.500
0.501 0.003 0.000
0.501 0.499 0.000
0.836 0.164 0.260
0.836 0.164 0.740
0.836 0.672 0.260
0.836 0.672 0.740
0.997 0.499 0.000
0.000 0.000 0.500
```

DFT (PBE) results for crystalline MgSi2 at its relaxed geometry.

The value obtained for the raw formation energy is 0.14 eV/atom. Its crystal system is monoclinic. The space group is C2/m (12). Its energy above the most stable polymorph in this dataset is 0.36 eV/f.u.

Cell and atoms, written as POSCAR:
```
MgSi2
1.0
4.807 -2.230 0.000
4.807 2.230 0.000
-2.757 0.000 10.149
Mg Si
4 8
direct
0.039 0.039 0.359
0.363 0.363 0.133
0.637 0.637 0.867
0.961 0.961 0.641
0.062 0.062 0.112
0.249 0.249 0.619
0.332 0.332 0.852
0.369 0.369 0.431
0.631 0.631 0.569
0.668 0.668 0.148
0.751 0.751 0.381
0.938 0.938 0.888
```

DFT (PBE) results for crystalline MgSi2 at its relaxed geometry.

The value obtained for the raw formation energy is 0.10 eV/atom. Its crystal system is triclinic. The space group is P-1 (2). Its energy above the most stable polymorph in this dataset is 0.23 eV/f.u.

Cell and atoms, written as POSCAR:
```
MgSi2
1.0
6.699 0.000 0.000
1.075 7.218 0.000
0.465 0.993 9.584
Mg Si
8 16
direct
0.021 0.154 0.363
0.164 0.805 0.181
0.282 0.473 0.707
0.410 0.813 0.482
0.590 0.187 0.518
0.718 0.527 0.293
0.836 0.195 0.819
0.979 0.846 0.637
0.101 0.606 0.434
0.131 0.729 0.899
0.198 0.151 0.614
0.213 0.205 0.026
0.271 0.011 0.844
0.333 0.491 0.043
0.349 0.413 0.298
0.387 0.073 0.235
0.613 0.927 0.765
0.651 0.587 0.702
0.667 0.509 0.957
0.729 0.989 0.156
0.787 0.795 0.974
0.802 0.849 0.386
0.869 0.271 0.101
0.899 0.394 0.566
```

DFT (PBE) results for crystalline MgSi2 at its relaxed geometry.

The value obtained for the raw formation energy is 0.12 eV/atom. Its crystal system is triclinic. The space group is P1 (1). Its energy above the most stable polymorph in this dataset is 0.27 eV/f.u.

Cell and atoms, written as POSCAR:
```
MgSi2
1.0
5.334 0.000 0.000
2.238 5.077 0.000
1.637 1.727 8.285
Mg Si
4 8
direct
0.000 0.000 0.000
0.120 0.374 0.660
0.388 0.381 0.982
0.640 0.342 0.296
0.042 0.949 0.491
0.159 0.312 0.326
0.484 0.860 0.809
0.488 0.652 0.599
0.546 0.873 0.151
0.717 0.166 0.695
0.818 0.731 0.380
0.837 0.551 0.981
```

DFT (PBE) results for crystalline Mg3Si2 at its relaxed geometry.

The value obtained for the raw formation energy is -0.04 eV/atom. Its crystal system is monoclinic. The space group is C2/c (15).

Cell and atoms, written as POSCAR:
```
Mg3Si2
1.0
4.011 -3.672 0.000
4.011 3.672 0.000
-1.656 0.000 6.493
Mg Si
6 4
direct
0.153 0.847 0.750
0.269 0.359 0.018
0.359 0.269 0.518
0.641 0.731 0.482
0.731 0.641 0.982
0.847 0.153 0.250
0.098 0.665 0.336
0.335 0.902 0.164
0.665 0.098 0.836
0.902 0.335 0.664
```

DFT (PBE) results for crystalline MgSi2 at its relaxed geometry.

The value obtained for the raw formation energy is 0.12 eV/atom. Its crystal system is triclinic. The space group is P1 (1). Its energy above the most stable polymorph in this dataset is 0.29 eV/f.u.

Cell and atoms, written as POSCAR:
```
MgSi2
1.0
3.729 0.000 0.000
1.560 5.299 0.000
0.363 2.593 11.687
Mg Si
4 8
direct
0.000 0.000 0.000
0.097 0.553 0.674
0.387 0.999 0.473
0.851 0.024 0.243
0.095 0.601 0.416
0.200 0.419 0.247
0.326 0.377 0.897
0.503 0.015 0.808
0.617 0.648 0.144
0.675 0.408 0.527
0.721 0.600 0.947
0.998 0.046 0.679
```

DFT (PBE) results for crystalline Mg6Si5 at its relaxed geometry.

The value obtained for the raw formation energy is 0.08 eV/atom. Its crystal system is triclinic. The space group is P1 (1). Its energy above the most stable polymorph in this dataset is 0.90 eV/f.u.

Cell and atoms, written as POSCAR:
```
Mg6Si5
1.0
5.687 0.000 0.000
-0.230 6.324 0.000
-2.545 -2.096 11.983
Mg Si
12 10
direct
0.000 0.000 0.000
0.017 0.965 0.562
0.067 0.705 0.780
0.168 0.507 0.010
0.447 0.076 0.877
0.495 0.797 0.408
0.620 0.576 0.897
0.642 0.321 0.121
0.755 0.459 0.564
0.865 0.049 0.306
0.907 0.209 0.790
0.969 0.572 0.347
0.173 0.291 0.197
0.232 0.567 0.568
0.280 0.915 0.208
0.290 0.330 0.712
0.291 0.233 0.447
0.525 0.883 0.066
0.544 0.353 0.334
0.547 0.103 0.606
0.566 0.787 0.695
0.879 0.707 0.138
```

DFT (PBE) results for crystalline Mg5Si9 at its relaxed geometry.

The value obtained for the raw formation energy is 0.12 eV/atom. Its crystal system is triclinic. The space group is P1 (1). Its energy above the most stable polymorph in this dataset is 0.32 eV/f.u.

Cell and atoms, written as POSCAR:
```
Mg5Si9
1.0
5.853 0.000 0.000
-2.814 6.957 0.000
-2.140 -0.990 13.343
Mg Si
10 18
direct
0.000 0.000 0.000
0.015 0.430 0.101
0.187 0.792 0.637
0.321 0.759 0.884
0.356 0.466 0.738
0.454 0.242 0.163
0.559 0.267 0.598
0.653 0.665 0.115
0.832 0.141 0.435
0.940 0.057 0.229
0.102 0.644 0.424
0.193 0.829 0.147
0.309 0.381 0.976
0.311 0.435 0.289
0.317 0.904 0.327
0.330 0.102 0.757
0.331 0.200 0.405
0.415 0.590 0.547
0.533 0.197 0.927
0.560 0.986 0.061
0.621 0.765 0.314
0.693 0.941 0.597
0.779 0.715 0.858
0.789 0.741 0.482
0.886 0.404 0.293
0.902 0.526 0.747
0.903 0.997 0.767
0.918 0.285 0.857
```

DFT (PBE) results for crystalline Mg6Si5 at its relaxed geometry.

The value obtained for the raw formation energy is 0.08 eV/atom. Its crystal system is triclinic. The space group is P1 (1). Its energy above the most stable polymorph in this dataset is 0.92 eV/f.u.

Cell and atoms, written as POSCAR:
```
Mg6Si5
1.0
3.919 0.000 0.000
0.004 6.974 0.000
1.945 1.270 15.668
Mg Si
12 10
direct
0.000 0.000 0.000
0.014 0.439 0.971
0.084 0.814 0.839
0.126 0.412 0.754
0.282 0.296 0.439
0.443 0.193 0.118
0.473 0.690 0.054
0.559 0.184 0.881
0.711 0.448 0.585
0.747 0.970 0.512
0.818 0.621 0.367
0.857 0.148 0.292
0.189 0.785 0.629
0.195 0.148 0.618
0.257 0.662 0.491
0.308 0.932 0.387
0.372 0.446 0.260
0.376 0.807 0.250
0.643 0.720 0.720
0.645 0.097 0.717
0.920 0.857 0.162
0.924 0.478 0.156
```

DFT (PBE) results for crystalline Mg5Si9 at its relaxed geometry.

The value obtained for the raw formation energy is 0.10 eV/atom. Its crystal system is triclinic. The space group is P1 (1). Its energy above the most stable polymorph in this dataset is 0.00 eV/f.u.

Cell and atoms, written as POSCAR:
```
Mg5Si9
1.0
7.486 0.000 0.000
-3.504 6.620 0.000
-1.675 -1.904 10.638
Mg Si
10 18
direct
0.000 0.000 0.000
0.004 0.235 0.358
0.129 0.658 0.949
0.140 0.869 0.242
0.238 0.962 0.764
0.387 0.149 0.546
0.405 0.586 0.764
0.670 0.000 0.705
0.724 0.455 0.187
0.936 0.453 0.639
0.037 0.132 0.604
0.056 0.446 0.145
0.079 0.277 0.821
0.287 0.731 0.563
0.388 0.346 0.309
0.389 0.308 0.954
0.398 0.523 0.129
0.404 0.061 0.083
0.491 0.684 0.432
0.553 0.952 0.301
0.557 0.908 0.959
0.618 0.350 0.807
0.674 0.297 0.411
0.712 0.845 0.154
0.812 0.769 0.568
0.824 0.251 0.948
0.827 0.702 0.782
0.970 0.661 0.427
```

DFT (PBE) results for crystalline Mg5Si9 at its relaxed geometry.

The value obtained for the raw formation energy is 0.14 eV/atom. Its crystal system is triclinic. The space group is P1 (1). Its energy above the most stable polymorph in this dataset is 0.56 eV/f.u.

Cell and atoms, written as POSCAR:
```
Mg5Si9
1.0
5.820 0.000 0.000
2.751 6.563 0.000
0.460 -0.040 13.477
Mg Si
10 18
direct
0.000 0.000 0.000
0.004 0.237 0.374
0.052 0.777 0.341
0.331 0.258 0.056
0.407 0.475 0.494
0.527 0.723 0.669
0.595 0.659 0.294
0.737 0.292 0.792
0.774 0.315 0.157
0.897 0.971 0.563
0.052 0.635 0.699
0.171 0.885 0.811
0.183 0.443 0.852
0.207 0.974 0.191
0.281 0.648 0.107
0.341 0.175 0.595
0.356 0.122 0.769
0.379 0.367 0.290
0.381 0.890 0.481
0.415 0.636 0.931
0.598 0.882 0.981
0.599 0.074 0.390
0.606 0.009 0.207
0.757 0.884 0.816
0.811 0.622 0.478
0.859 0.665 0.107
0.870 0.416 0.965
0.896 0.364 0.608
```

DFT (PBE) results for crystalline MgSi2 at its relaxed geometry.

The value obtained for the raw formation energy is 0.09 eV/atom. Its crystal system is monoclinic. The space group is Cm (8). Its energy above the most stable polymorph in this dataset is 0.20 eV/f.u.

Cell and atoms, written as POSCAR:
```
MgSi2
1.0
5.209 -1.880 0.000
5.209 1.880 0.000
-4.275 0.000 11.448
Mg Si
4 8
direct
0.000 0.000 0.000
0.031 0.031 0.550
0.660 0.660 0.240
0.750 0.750 0.739
0.044 0.044 0.782
0.267 0.267 0.936
0.308 0.308 0.462
0.421 0.421 0.679
0.440 0.440 0.334
0.673 0.673 0.474
0.725 0.725 0.043
0.933 0.933 0.211
```